Material: Nd2BeFeO6
Method: DFT, PBE+U
State: optimized geometry Values from VASP.

The structure in Quantum ESPRESSO input format:
```
&SYSTEM
  ibrav = 0, nat = 20, ntyp = 4
/
ATOMIC_SPECIES
Nd 144.24 Nd.upf
Be 9.01 Be.upf
Fe 55.84 Fe.upf
O 16.00 O.upf
CELL_PARAMETERS angstrom
5.363 0.000 0.000
0.000 5.255 0.000
-5.354 0.000 7.496
ATOMIC_POSITIONS angstrom
Nd -0.014 0.059 1.878
Nd -2.691 2.568 5.626
Nd 2.700 2.687 1.870
Nd 0.023 5.196 5.618
Be 2.681 0.000 0.000
Be 0.004 2.628 3.748
Fe -2.677 0.000 3.748
Fe 0.000 2.628 0.000
O -4.076 1.265 7.259
O -1.399 1.363 3.511
O -3.935 3.909 7.249
O -1.258 3.973 3.501
O -2.354 0.012 5.656
O 0.323 2.616 1.908
O -0.315 2.639 5.588
O 2.362 5.244 1.840
O 1.266 1.282 3.995
O 3.944 1.346 0.247
O 1.408 3.892 3.985
O 4.085 3.991 0.237
```

Results
Electronic total energy ... -7.283 eV per atom